First-principles (PBE-GGA) data for crystalline LaMnTc2 at its relaxed geometry, as listed in Alexandria.

Its density of states at the Fermi level is 9.4 states/eV per cell. As for the crystal system: monoclinic. For the polymorph energy (0 for the lowest one), the calculation gives 0.312 eV per atom. The value obtained for the final energy is -32.7 eV/f.u. The value obtained for the magnetization is 6.19 μB/cell.

The space group is C2/m (No. 12) and the conventional cell measures 5.723, 9.133 and 2.928 Å, with angles of 90.00, 113.81 and 90.00 degrees. The inequivalent atoms are La at (0.000, 0.000, 0.000), Mn at (0.000, 0.500, 0.000) and Tc at (0.250, 0.250, 0.500).